Here is a relaxed LiTl2Pd4 crystal from Alexandria. Energies are from PBE.

Properties
Crystal system: tetragonal
Total energy: -3.8759 eV/atom
Total magnetization: 0.0 μB/f.u.
ΔH_f (0 K): 0.0409 eV per atom

a = 7.662 Å, b = 7.662 Å, c = 7.662 Å
α = 147.41°, β = 147.41°, γ = 46.76°
Positions (direct):
Li (0.000, 0.000, 0.000)
Tl (0.359, 0.359, 0.000)
Tl (0.641, 0.641, 0.000)
Pd (0.000, 0.500, 0.500)
Pd (0.166, 0.166, 0.000)
Pd (0.500, 0.000, 0.500)
Pd (0.834, 0.834, 0.000)